[1]
Here is an optimized crystal structure of CdGaCoAu from OQMD. Energies are from PBE.

DFT total energy in eV/cell: -13.91
SG: F-43m (216)

abc: 4.5139 4.5139 4.5139
angles: 60.00 60.00 60.00
Element x y z (fractional)
Cd 0.0000 0.0000 0.0000
Ga 0.5000 0.5000 0.5000
Co 0.7500 0.7500 0.7500
Au 0.2500 0.2500 0.2500

[2]
Here is an optimized crystal structure of SrLu2Zn from OQMD. Energies are from PBE.

DFT total energy in eV/cell: -11.20
SG: F-43m (216)

abc: 5.4461 5.4461 5.4461
angles: 60.00 60.00 60.00
Element x y z (fractional)
Sr 0.0000 0.0000 0.0000
Lu 0.5000 0.5000 0.5000
Lu 0.7500 0.7500 0.7500
Zn 0.2500 0.2500 0.2500

[3]
Here is an optimized crystal structure of InAgSO from OQMD. Energies are from PBE.

DFT total energy in eV/cell: -69.57
SG: P2_1/c (14)

abc: 6.5867 6.9550 6.1523
angles: 90.00 94.85 90.00
Element x y z (fractional)
In 0.0207 0.1296 0.2285
In 0.0207 0.3704 0.7285
In 0.9793 0.6296 0.2715
In 0.9793 0.8704 0.7715
Ag 0.4636 0.7177 0.5912
Ag 0.4636 0.7823 0.0912
Ag 0.5364 0.2177 0.9088
Ag 0.5364 0.2823 0.4088
S 0.2608 0.1014 0.6019
S 0.2608 0.3986 0.1019
S 0.7392 0.6014 0.8981
S 0.7392 0.8986 0.3981
O 0.1333 0.6410 0.6033
O 0.1333 0.8590 0.1033
O 0.8667 0.1410 0.8967
O 0.8667 0.3590 0.3967

[4]
Here is an optimized crystal structure of LiSbTeW from OQMD. Energies are from PBE.

DFT total energy in eV/cell: -18.83
SG: F-43m (216)

abc: 4.8826 4.8826 4.8826
angles: 60.00 60.00 60.00
Element x y z (fractional)
Li 0.0000 0.0000 0.0000
Sb 0.5000 0.5000 0.5000
Te 0.2500 0.2500 0.2500
W 0.7500 0.7500 0.7500

Q: Which formula does entry 3 have?
A: InAgSO

Please write out number 3 again, unchanged.
Here is an optimized crystal structure of InAgSO from OQMD. Energies are from PBE.

DFT total energy in eV/cell: -69.57
SG: P2_1/c (14)

abc: 6.5867 6.9550 6.1523
angles: 90.00 94.85 90.00
Element x y z (fractional)
In 0.0207 0.1296 0.2285
In 0.0207 0.3704 0.7285
In 0.9793 0.6296 0.2715
In 0.9793 0.8704 0.7715
Ag 0.4636 0.7177 0.5912
Ag 0.4636 0.7823 0.0912
Ag 0.5364 0.2177 0.9088
Ag 0.5364 0.2823 0.4088
S 0.2608 0.1014 0.6019
S 0.2608 0.3986 0.1019
S 0.7392 0.6014 0.8981
S 0.7392 0.8986 0.3981
O 0.1333 0.6410 0.6033
O 0.1333 0.8590 0.1033
O 0.8667 0.1410 0.8967
O 0.8667 0.3590 0.3967

Q: Which value of DFT total energy does entry 3 give?
A: -69.57 eV/cell

Q: Which value of DFT total energy does entry 3 give?
A: -69.57 eV/cell